Entry 1:
RbMgF3: PBEsol geometry, meta-GGA SCAN.

D(E_F) (states/eV/f.u.): 0.00

a = 4.060 Å, b = 4.060 Å, c = 4.060 Å
α = 90.00°, β = 90.00°, γ = 90.00°
Sites, in units of the cell vectors:
F (0.500, 0.500, 0.000)
Mg (0.500, 0.500, 0.500)
F (0.500, 0.000, 0.500)
Rb (0.000, 0.000, 0.000)
F (0.000, 0.500, 0.500)


Entry 2:
RbMgSeF2: PBEsol geometry, meta-GGA SCAN.

D(E_F) (states/eV/f.u.): 2.25

a = 4.404 Å, b = 4.404 Å, c = 8.926 Å
α = 90.00°, β = 90.00°, γ = 90.00°
Sites, in units of the cell vectors:
F (0.000, 0.500, 0.000)
F (0.500, 0.000, 0.000)
Mg (0.000, 0.000, 0.500)
Se (0.500, 0.500, 0.500)
Rb (0.000, 0.000, 0.000)


Entry 3:
MgReF2: PBEsol geometry, meta-GGA SCAN.

D(E_F) (states/eV/f.u.): 2.94

a = 4.118 Å, b = 4.118 Å, c = 4.118 Å
α = 60.00°, β = 60.00°, γ = 60.00°
Sites, in units of the cell vectors:
F (0.750, 0.750, 0.750)
Re (0.500, 0.500, 0.500)
Mg (0.000, 0.000, 0.000)
F (0.250, 0.250, 0.250)


Entry 4:
Mg2ReF: PBEsol geometry, meta-GGA SCAN.

D(E_F) (states/eV/f.u.): 2.72

a = 5.477 Å, b = 5.477 Å, c = 5.477 Å
α = 78.65°, β = 66.32°, γ = 113.68°
Sites, in units of the cell vectors:
F (0.500, 0.750, 0.750)
Re (0.000, 0.000, 0.000)
Mg (0.904, 0.779, 0.625)
F (0.000, 0.500, 0.500)
Mg (0.404, 0.625, 0.471)
Re (0.500, 0.250, 0.250)
Mg (0.096, 0.471, 0.125)
Mg (0.596, 0.125, 0.779)


Entry 5:
MgTa2RhF: PBEsol geometry, meta-GGA SCAN.

D(E_F) (states/eV/f.u.): 2.82

a = 4.732 Å, b = 4.732 Å, c = 5.025 Å
α = 90.00°, β = 90.00°, γ = 90.00°
Sites, in units of the cell vectors:
Ta (0.500, 0.000, 0.000)
F (0.500, 0.500, 0.500)
Ta (0.000, 0.500, 0.000)
Mg (0.000, 0.000, 0.500)
Rh (0.000, 0.000, 0.000)


Entry 6:
MgZn2RhF: PBEsol geometry, meta-GGA SCAN.

D(E_F) (states/eV/f.u.): 1.04

a = 3.724 Å, b = 4.330 Å, c = 4.330 Å
α = 90.00°, β = 90.00°, γ = 90.00°
Sites, in units of the cell vectors:
Rh (0.500, 0.500, 0.500)
Zn (0.000, 0.500, 0.000)
Zn (0.000, 0.000, 0.500)
Mg (0.500, 0.000, 0.000)
F (0.000, 0.000, 0.000)


Entry 7:
MgRuF2: PBEsol geometry, meta-GGA SCAN.

D(E_F) (states/eV/f.u.): 0.93

a = 2.936 Å, b = 2.936 Å, c = 7.575 Å
α = 78.82°, β = 78.82°, γ = 60.00°
Sites, in units of the cell vectors:
Ru (0.500, 0.500, 0.500)
F (0.911, 0.911, 0.266)
Mg (0.000, 0.000, 0.000)
F (0.089, 0.089, 0.734)


Entry 8:
MgRuF3: PBEsol geometry, meta-GGA SCAN.

D(E_F) (states/eV/f.u.): 1.32

a = 4.134 Å, b = 4.134 Å, c = 4.134 Å
α = 90.00°, β = 90.00°, γ = 90.00°
Sites, in units of the cell vectors:
Mg (0.500, 0.500, 0.500)
F (0.000, 0.000, 0.500)
Ru (0.000, 0.000, 0.000)
F (0.500, 0.000, 0.000)
F (0.000, 0.500, 0.000)


Going through the records in order, we get uncorrected formation energy values of -3.517, -0.841, 0.023, -0.288, 0.605, -0.701, -1.066, -1.283 eV per atom.